First-principles (PBE) data for Pm3Cd4Hg2 after structural relaxation, as listed in Alexandria via LeMat-Bulk.

Output
As for the raw total energy: -21.957 eV per cell. As for the density of states at the Fermi level: 6.53 states/eV per cell. The value obtained for the energy of formation is -0.382 eV/atom. As for the space group: C2/m (12). The value obtained for the density is 9.31 g cm⁻³.

Lattice parameters (Å, degrees): 5.047 6.121 9.378 116.75 90.00 114.35
Sites, in units of the cell vectors:
Cd1 0.725 0.450 0.056
Cd2 0.051 0.101 0.385
Cd3 0.949 0.899 0.615
Cd4 0.275 0.550 0.944
Pm1 0.331 0.662 0.335
Pm2 0.000 0.000 0.000
Pm3 0.669 0.338 0.665
Hg1 0.390 0.781 0.724
Hg2 0.610 0.219 0.276